Record 1
A plane-wave DFT calculation with SCAN was carried out for a crystal of GaPbBr2 relaxed with PBEsol.

Cell and atoms, written as extended XYZ:
```
4
Lattice="5.262 0.000 0.000 2.631 4.557 0.000 2.631 1.519 4.297" Properties=species:S:1:pos:R:3 pbc="T T T"
Br 7.893 4.557 3.222
Pb 5.262 3.038 2.148
Ga 0.000 0.000 0.000
Br 2.631 1.519 1.074
```

Space-group type: Fm-3m (225)

Record 2
A plane-wave DFT calculation with SCAN was carried out for a crystal of GaPb2Br relaxed with PBEsol.

Cell and atoms, written as extended XYZ:
```
4
Lattice="-4.239 0.966 2.963 -3.028 -3.979 1.636 -0.026 -1.369 5.080" Properties=species:S:1:pos:R:3 pbc="T T T"
Ga 0.000 0.000 0.000
Pb -5.470 -3.287 7.259
Br -3.647 -2.191 4.839
Pb -1.823 -1.096 2.420
```

Space-group type: Fm-3m (225)

So what do the calculations give for formation energy from raw total energies? Going down the list: -314.9, 31.9 meV/atom.
So what do the calculations give for size of the total moment? Going down the list: 0.00, 0.00 μB/atom.